Record 1
# Ba2LaRu (GGA-PBE, optimized geometry)
data_Ba2LaRu
_chemical_formula_sum 'Ba2 La1 Ru1'
_cell_length_a 9.727
_cell_length_b 9.727
_cell_length_c 9.727
_cell_angle_alpha 158.07
_cell_angle_beta 152.32
_cell_angle_gamma 35.59
_symmetry_space_group_name_H-M 'P 1'
_symmetry_Int_Tables_number 1
loop_
_symmetry_equiv_pos_as_xyz
'x,y,z'
loop_
_atom_site_label
_atom_site_type_symbol
_atom_site_fract_x
_atom_site_fract_y
_atom_site_fract_z
Ba1 Ba 0.097 0.097 0.000
Ba2 Ba 0.403 0.403 0.000
La1 La 0.750 0.250 0.500
Ru1 Ru 0.250 0.750 0.500
# Magnetization ... 0.00 μB/cell
# ΔE to the lowest computed polymorph ... 81 meV per atom
# D(E_F) ... 5.10 states/eV/cell
# VASP energy ... -4.37 eV/atom
# Calculated formation energy ... 142 meV/atom

Record 2
# LaZrGaPd2 (GGA-PBE, optimized geometry)
data_LaZrGaPd2
_chemical_formula_sum 'La1 Zr1 Ga1 Pd2'
_cell_length_a 5.021
_cell_length_b 5.225
_cell_length_c 5.021
_cell_angle_alpha 90.00
_cell_angle_beta 90.00
_cell_angle_gamma 90.00
_symmetry_space_group_name_H-M 'P 1'
_symmetry_Int_Tables_number 1
loop_
_symmetry_equiv_pos_as_xyz
'x,y,z'
loop_
_atom_site_label
_atom_site_type_symbol
_atom_site_fract_x
_atom_site_fract_y
_atom_site_fract_z
La1 La 0.500 0.500 0.500
Pd1 Pd 0.000 0.000 0.500
Pd2 Pd 0.500 0.000 0.000
Ga1 Ga 0.000 0.500 0.000
Zr1 Zr 0.000 0.000 0.000
# Magnetization ... 0.00 μB/cell
# D(E_F) ... 4.88 states/eV/cell
# VASP energy ... -5.44 eV/atom
# Calculated formation energy ... -58 meV/atom